Entry one
KH3Rh: optimized geometry, GGA-PBE. Values from VASP.

The structure in Quantum ESPRESSO input format:
```
&SYSTEM
  ibrav = 0, nat = 20, ntyp = 3
/
ATOMIC_SPECIES
H 1.01 H.upf
K 39.10 K.upf
Rh 102.91 Rh.upf
ATOMIC_POSITIONS crystal
H 0.4654 0.4028 0.5972
H 0.0346 0.0972 0.9028
H 0.5346 0.5972 0.4028
H 0.9654 0.9028 0.0972
H 0.1644 0.4040 0.3918
H 0.3356 0.8918 0.9040
H 0.8356 0.5960 0.6082
H 0.6644 0.1082 0.0960
H 0.6644 0.9040 0.8918
H 0.8356 0.3918 0.4040
H 0.3356 0.0960 0.1082
H 0.1644 0.6082 0.5960
K 0.7500 0.0559 0.5559
K 0.2500 0.9441 0.4441
K 0.7500 0.4441 0.9441
K 0.2500 0.5559 0.0559
Rh 0.4141 0.2499 0.7501
Rh 0.0859 0.2501 0.7499
Rh 0.5859 0.7501 0.2499
Rh 0.9141 0.7499 0.2501
CELL_PARAMETERS angstrom
8.8529 0.0000 1.1580
3.3880 5.1837 -2.0979
-3.3880 5.1837 2.0979
```


Entry two
KH3Rh: optimized geometry, GGA-PBE. Values from VASP.

The structure in Quantum ESPRESSO input format:
```
&SYSTEM
  ibrav = 0, nat = 10, ntyp = 3
/
ATOMIC_SPECIES
H 1.01 H.upf
K 39.10 K.upf
Rh 102.91 Rh.upf
ATOMIC_POSITIONS crystal
H 0.2896 0.9424 0.1152
H 0.0576 0.7104 0.8848
H 0.0576 0.4048 0.8848
H 0.5952 0.9424 0.1152
H 0.2597 0.2597 0.4807
H 0.7403 0.7403 0.5193
K 0.6434 0.1434 0.7131
K 0.8566 0.3566 0.2869
Rh 0.0000 0.0000 0.0000
Rh 0.2500 0.7500 0.5000
CELL_PARAMETERS angstrom
-1.5556 2.0795 -2.2042
2.0566 -1.0952 -2.4846
-6.7605 -7.2747 -4.7240
```


Entry three
KH3Rh: optimized geometry, GGA-PBE. Values from VASP.

The structure in Quantum ESPRESSO input format:
```
&SYSTEM
  ibrav = 0, nat = 10, ntyp = 3
/
ATOMIC_SPECIES
H 1.01 H.upf
K 39.10 K.upf
Rh 102.91 Rh.upf
ATOMIC_POSITIONS crystal
H 0.7773 0.4988 0.2500
H 0.5012 0.2227 0.2500
H 0.4988 0.7773 0.7500
H 0.2227 0.5012 0.7500
H 0.0000 0.0000 0.0000
H 0.0000 0.0000 0.5000
K 0.3596 0.6404 0.2500
K 0.6404 0.3596 0.7500
Rh 0.0796 0.9204 0.2500
Rh 0.9204 0.0796 0.7500
CELL_PARAMETERS angstrom
5.1569 3.6404 0.5718
-5.4197 -1.4164 2.9655
2.6117 -4.1388 2.7963
```


Computed relative energies in units of meV per atom: entry one 0; entry two 243; entry three 217